A relaxed structure of TiMnAsO5, computed with PBE with a Hubbard U.

Magnetic moment   7.95 μB/cell
Total DFT energy (no corrections)   -0.5514 Ry per atom
Space-group type   No. 15

Cell: 5.515 5.515 7.871 Å, 110.87 110.87 92.30°
Last column: magnetic moment on the atom in μB.
Fractional positions:
Ti (0.000, 0.000, 0.500)  0.04
Ti (0.000, 0.000, 0.000)  0.04
Mn (0.277, 0.723, 0.250)  4.02
Mn (0.723, 0.277, 0.750)  4.02
As (0.656, 0.344, 0.250)  -0.02
As (0.344, 0.656, 0.750)  -0.02
O (0.026, 0.974, 0.250)  -0.05
O (0.974, 0.026, 0.750)  -0.05
O (0.754, 0.245, 0.995)  -0.07
O (0.246, 0.755, 0.005)  -0.07
O (0.755, 0.246, 0.505)  -0.07
O (0.245, 0.754, 0.495)  -0.07
O (0.683, 0.699, 0.346)  -0.01
O (0.317, 0.301, 0.654)  -0.01
O (0.301, 0.317, 0.154)  -0.01
O (0.699, 0.683, 0.846)  -0.01